A plane-wave DFT calculation with GGA-PBEsol was carried out for AsI2NCl after structural relaxation.

Summary:
Excess energy over the best structure of this formula in the dataset, meV per atom: 0
Symmetry: P4/mmm (123)
Fermi-level density of states, states/eV/cell: 4.5
Uncorrected formation energy, meV/atom: 694

Cell: 3.505 6.008 6.008 Å, 90.00 90.00 90.00°
Fractional coordinates of all 5 atoms:
1 I 0.000 0.500 0.000
2 N 0.500 0.000 0.000
3 As 0.000 0.000 0.000
4 I 0.000 0.000 0.500
5 Cl 0.500 0.500 0.500